[1]
Material: LaPN2F
Method: DFT, PBE
State: optimized geometry

abc: 4.8071 4.8071 4.5157
angles: 90.00 90.00 90.00
Fractional coordinates of all 5 atoms:
P 0.5000 0.5000 0.5000
N 0.0000 0.5000 0.0000
N 0.5000 0.0000 0.0000
F 0.0000 0.0000 0.5000
La 0.0000 0.0000 0.0000

Output
Calculated total energy in eV/atom: -5.33
Size of the total moment in μB per formula unit: 1.00

***

[2]
Material: SmPuGe2
Method: DFT, PBE
State: optimized geometry

abc: 5.0935 5.0935 5.0935
angles: 60.00 60.00 60.00
Fractional coordinates of all 4 atoms:
Ge 0.2500 0.2500 0.2500
Ge 0.7500 0.7500 0.7500
Sm 0.0000 0.0000 0.0000
Pu 0.5000 0.5000 0.5000

Output
Formation energy in eV per atom: -0.47
Size of the total moment in μB per formula unit: 5.80